1.
Compound: Fe2HS
Source: the Alexandria database
Functional: PBE-GGA
Structure: optimized geometry

Properties
electronic total energy = -23.6 eV per formula unit
spin magnetization = 0.4 Bohr magnetons per cell
Fermi-level density of states = 3.77 states/eV/cell

a = 3.676 Å, b = 3.676 Å, c = 3.676 Å
α = 60.00°, β = 60.00°, γ = 60.00°
Positions (direct):
Fe: 0.250 0.250 0.250
Fe: 0.750 0.750 0.750
H: 0.000 0.000 0.000
S: 0.500 0.500 0.500


2.
Compound: KGe2TeO8
Source: the Alexandria database
Functional: PBE-GGA
Structure: optimized geometry

Properties
formation energy from raw total energies = -1261 meV/atom
electronic total energy = -68.3 eV per formula unit
spin magnetization = 1.1 Bohr magnetons per cell

a = 5.040 Å, b = 5.040 Å, c = 7.819 Å
α = 101.72°, β = 101.72°, γ = 67.09°
Positions (direct):
K: 0.000 0.000 0.000
Ge: 0.405 0.405 0.712
Ge: 0.595 0.595 0.288
Te: 0.000 0.000 0.500
O: 0.215 0.734 0.313
O: 0.234 0.234 0.525
O: 0.266 0.785 0.687
O: 0.366 0.366 0.921
O: 0.634 0.634 0.079
O: 0.734 0.215 0.313
O: 0.766 0.766 0.475
O: 0.785 0.266 0.687


3.
Compound: PmPr4Sm4
Source: the Alexandria database
Functional: PBE-GGA
Structure: optimized geometry

Properties
electronic total energy = -42.6 eV per formula unit
spin magnetization = 0.0 Bohr magnetons per cell
Fermi-level density of states = 14.33 states/eV/cell
energy of formation = 12.1 kJ/mol of formula units

a = 8.207 Å, b = 8.207 Å, c = 8.207 Å
α = 95.74°, β = 95.74°, γ = 143.13°
Positions (direct):
Pm: 0.000 0.000 0.000
Pr: 0.333 0.333 0.666
Pr: 0.333 0.667 0.000
Pr: 0.667 0.333 0.000
Pr: 0.667 0.667 0.334
Sm: 0.000 0.335 0.335
Sm: 0.000 0.665 0.665
Sm: 0.335 0.000 0.335
Sm: 0.665 0.000 0.665


4.
Compound: RuPtS2
Source: the Alexandria database
Functional: PBE-GGA
Structure: optimized geometry

Properties
formation energy from raw total energies = -79 meV/atom
electronic total energy = -23.9 eV per formula unit
spin magnetization = 0.0 Bohr magnetons per cell
Fermi-level density of states = 4.28 states/eV/cell

a = 6.489 Å, b = 6.489 Å, c = 6.489 Å
α = 131.36°, β = 131.36°, γ = 71.24°
Positions (direct):
Ru: 0.000 0.000 0.000
Ru: 0.750 0.250 0.500
Pt: 0.250 0.750 0.500
Pt: 0.500 0.500 0.000
S: 0.108 0.625 0.983
S: 0.375 0.358 0.483
S: 0.642 0.125 0.017
S: 0.875 0.892 0.517


5.
Compound: AlGe2Te4
Source: the Alexandria database
Functional: PBE-GGA
Structure: optimized geometry

Properties
formation energy from raw total energies = 18 meV/atom
electronic total energy = -25.4 eV per formula unit
spin magnetization = 0.0 Bohr magnetons per cell
Fermi-level density of states = 2.55 states/eV/cell

a = 6.625 Å, b = 6.625 Å, c = 6.625 Å
α = 108.36°, β = 108.36°, γ = 111.72°
Positions (direct):
Al: 0.000 0.000 0.000
Ge: 0.250 0.750 0.500
Ge: 0.750 0.250 0.500
Te: 0.192 0.706 0.899
Te: 0.294 0.192 0.486
Te: 0.706 0.808 0.514
Te: 0.808 0.294 0.101


6.
Compound: PrPaTeP
Source: the Alexandria database
Functional: PBE-GGA
Structure: optimized geometry

Properties
formation energy from raw total energies = -1235 meV/atom
electronic total energy = -27.8 eV per formula unit
spin magnetization = 1.0 Bohr magnetons per cell
Fermi-level density of states = 5.31 states/eV/cell

a = 7.892 Å, b = 7.892 Å, c = 7.892 Å
α = 30.18°, β = 30.18°, γ = 30.18°
Positions (direct):
Pr: 0.000 0.000 0.000
Pa: 0.806 0.806 0.806
Te: 0.232 0.232 0.232
P: 0.408 0.408 0.408


7.
Compound: AcErSi2Pt5
Source: the Alexandria database
Functional: PBE-GGA
Structure: optimized geometry

Properties
formation energy from raw total energies = -846 meV/atom
electronic total energy = -57.3 eV per formula unit
spin magnetization = 0.0 Bohr magnetons per cell
Fermi-level density of states = 3.48 states/eV/cell

a = 4.675 Å, b = 4.675 Å, c = 8.761 Å
α = 90.00°, β = 90.00°, γ = 90.00°
Positions (direct):
Ac: 0.000 0.000 0.000
Er: 0.000 0.000 0.500
Si: 0.500 0.500 0.270
Si: 0.500 0.500 0.730
Pt: 0.000 0.500 0.308
Pt: 0.000 0.500 0.692
Pt: 0.500 0.000 0.308
Pt: 0.500 0.000 0.692
Pt: 0.500 0.500 0.000


8.
Compound: Ca4Cr2Te
Source: the Alexandria database
Functional: PBE-GGA
Structure: optimized geometry

Properties
formation energy from raw total energies = 330 meV/atom
electronic total energy = -28.1 eV per formula unit
spin magnetization = 10.4 Bohr magnetons per cell
Fermi-level density of states = 7.05 states/eV/cell

a = 8.803 Å, b = 8.803 Å, c = 8.803 Å
α = 140.77°, β = 140.77°, γ = 56.69°
Positions (direct):
Ca: 0.000 0.500 0.500
Ca: 0.203 0.203 0.000
Ca: 0.500 0.000 0.500
Ca: 0.797 0.797 0.000
Cr: 0.403 0.403 0.000
Cr: 0.597 0.597 0.000
Te: 0.000 0.000 0.000


9.
Compound: LiZr2Br
Source: the Alexandria database
Functional: PBE-GGA
Structure: optimized geometry

Properties
formation energy from raw total energies = -16 meV/atom
electronic total energy = -20.7 eV per formula unit
spin magnetization = 0.0 Bohr magnetons per cell
Fermi-level density of states = 2.36 states/eV/cell

a = 5.509 Å, b = 5.509 Å, c = 5.511 Å
α = 115.81°, β = 115.81°, γ = 34.29°
Positions (direct):
Li: 0.000 0.000 0.000
Zr: 0.553 0.553 0.547
Zr: 0.776 0.776 0.214
Br: 0.306 0.306 0.660


10.
Compound: Nd4SmTl2
Source: the Alexandria database
Functional: PBE-GGA
Structure: optimized geometry

Properties
electronic total energy = -28.3 eV per formula unit
spin magnetization = 0.0 Bohr magnetons per cell
Fermi-level density of states = 12.84 states/eV/cell
energy of formation = 21.5 kJ/mol of formula units

a = 9.662 Å, b = 9.662 Å, c = 9.662 Å
α = 33.79°, β = 33.79°, γ = 33.79°
Positions (direct):
Nd: 0.130 0.130 0.130
Nd: 0.268 0.268 0.268
Nd: 0.732 0.732 0.732
Nd: 0.870 0.870 0.870
Sm: 0.500 0.500 0.500
Tl: 0.385 0.385 0.385
Tl: 0.615 0.615 0.615


11.
Compound: LiCa4Ag
Source: the Alexandria database
Functional: PBE-GGA
Structure: optimized geometry

Properties
electronic total energy = -13.4 eV per formula unit
spin magnetization = 0.0 Bohr magnetons per cell
Fermi-level density of states = 5.21 states/eV/cell
energy of formation = -58.2 kJ/mol of formula units

a = 3.843 Å, b = 3.843 Å, c = 13.289 Å
α = 90.00°, β = 90.00°, γ = 90.00°
Positions (direct):
Li: 0.000 0.000 0.000
Ca: 0.000 0.000 0.366
Ca: 0.000 0.000 0.634
Ca: 0.500 0.500 0.152
Ca: 0.500 0.500 0.848
Ag: 0.500 0.500 0.500


12.
Compound: Tb2ZrHg
Source: the Alexandria database
Functional: PBE-GGA
Structure: optimized geometry

Properties
electronic total energy = -18.4 eV per formula unit
spin magnetization = 0.0 Bohr magnetons per cell
Fermi-level density of states = 6.32 states/eV/cell
energy of formation = -29.3 kJ/mol of formula units

a = 5.512 Å, b = 5.512 Å, c = 3.456 Å
α = 90.00°, β = 90.00°, γ = 90.00°
Positions (direct):
Tb: 0.000 0.500 0.000
Tb: 0.500 0.000 0.000
Zr: 0.000 0.000 0.500
Hg: 0.500 0.500 0.500